DFT (PBE) results for a relaxed structure of VPtAu.

Output
- polymorph energy (0 for the lowest one) (meV per atom) = 37

Cell lengths 2.776, 4.438, 4.438 Å; angles 120.00, 90.00, 90.00 degrees
Atoms (fractional coordinates):
1 Au 0.999 0.000 0.000
2 Pt 0.529 0.667 0.333
3 V 0.473 0.333 0.667

DFT (PBE) results for a relaxed structure of VPtAu2.

Cell lengths 4.542, 4.542, 4.542 Å; angles 60.00, 60.00, 60.00 degrees
Site moments in Bohr magnetons follow the coordinates.
Atoms (fractional coordinates):
1 Au 0.250 0.250 0.250  0.01
2 Au 0.750 0.750 0.750  0.01
3 Pt 0.500 0.500 0.500  -0.13
4 V 0.000 0.000 0.000  1.69

DFT (PBE) results for a relaxed structure of VPtAu2.

Cell lengths 2.763, 2.763, 10.460 Å; angles 82.41, 82.41, 60.00 degrees
Atoms (fractional coordinates):
1 Au 0.084 0.084 0.749
2 Au 0.916 0.916 0.251
3 Pt 0.500 0.500 0.500
4 V 0.000 0.000 0.000

DFT (PBE) results for a relaxed structure of VPt3Au.

Output
- polymorph energy (0 for the lowest one) (meV per atom) = 708

Cell lengths 4.920, 4.920, 4.920 Å; angles 90.00, 90.00, 90.00 degrees
Site moments in Bohr magnetons follow the coordinates.
Atoms (fractional coordinates):
1 Au 0.000 0.000 0.000  -0.03
2 Pt 0.000 0.500 0.000  -0.16
3 Pt 0.000 0.000 0.500  -0.16
4 Pt 0.500 0.000 0.000  -0.16
5 V 0.500 0.500 0.500  2.76

DFT (PBE) results for a relaxed structure of V2Pt2Au.

Output
- polymorph energy (0 for the lowest one) (meV per atom) = 112

Cell lengths 7.589, 7.589, 2.734 Å; angles 90.00, 90.00, 90.00 degrees
Atoms (fractional coordinates):
1 Au 0.000 0.000 0.000
2 Au 0.500 0.500 0.000
3 Pt 0.172 0.672 0.500
4 Pt 0.672 0.828 0.500
5 Pt 0.828 0.328 0.500
6 Pt 0.328 0.172 0.500
7 V 0.384 0.884 0.000
8 V 0.884 0.616 0.000
9 V 0.616 0.116 0.000
10 V 0.116 0.384 0.000

DFT (PBE) results for a relaxed structure of V2ZnPtAu.

Cell lengths 4.853, 5.026, 4.853 Å; angles 90.00, 90.00, 90.00 degrees
Site moments in Bohr magnetons follow the coordinates.
Atoms (fractional coordinates):
1 Zn 0.500 0.500 0.500  -0.02
2 Au 0.000 0.000 0.000  0.09
3 Pt 0.000 0.500 0.000  -0.03
4 V 0.000 0.000 0.500  2.13
5 V 0.500 0.000 0.000  2.67

DFT (PBE) results for a relaxed structure of Zr2VPtAu.

Cell lengths 5.117, 4.698, 5.117 Å; angles 90.00, 90.00, 90.00 degrees
Site moments in Bohr magnetons follow the coordinates.
Atoms (fractional coordinates):
1 Au 0.000 0.000 0.000  0.01
2 Zr 0.000 0.000 0.500  -0.05
3 Zr 0.500 0.000 0.000  -0.12
4 Pt 0.500 0.500 0.500  0.02
5 V 0.000 0.500 0.000  2.13

DFT (PBE) results for a relaxed structure of PtWAu.

Output
- polymorph energy (0 for the lowest one) (meV per atom) = 184

Cell lengths 4.888, 4.888, 4.888 Å; angles 146.33, 130.81, 60.94 degrees
Atoms (fractional coordinates):
1 Au 0.998 0.998 0.000
2 Pt 0.673 0.673 0.000
3 W 0.329 0.329 0.000

DFT (PBE) results for a relaxed structure of PtWAu.

Output
- polymorph energy (0 for the lowest one) (meV per atom) = 0

Cell lengths 2.828, 2.828, 12.440 Å; angles 90.00, 90.00, 90.00 degrees
Atoms (fractional coordinates):
1 Au 0.000 0.500 0.589
2 Au 0.500 0.000 0.411
3 Pt 0.000 0.500 0.235
4 Pt 0.500 0.000 0.765
5 W 0.500 0.000 0.086
6 W 0.000 0.500 0.914

DFT (PBE) results for a relaxed structure of PtW2Au.

Output
- polymorph energy (0 for the lowest one) (meV per atom) = 0

Cell lengths 2.794, 2.794, 8.397 Å; angles 90.00, 90.00, 90.00 degrees
Atoms (fractional coordinates):
1 Au 0.000 0.000 0.497
2 Pt 0.500 0.500 0.767
3 W 0.000 0.000 0.988
4 W 0.500 0.500 0.249

DFT (PBE) results for a relaxed structure of Pt2WAu.

Output
- polymorph energy (0 for the lowest one) (meV per atom) = 0

Cell lengths 2.847, 2.847, 8.037 Å; angles 90.00, 90.00, 90.00 degrees
Atoms (fractional coordinates):
1 Au 0.500 0.500 0.750
2 W 0.500 0.500 0.250
3 Pt 0.000 0.000 0.019
4 Pt 0.000 0.000 0.481

DFT (PBE) results for a relaxed structure of PtW2Au.

Output
- polymorph energy (0 for the lowest one) (meV per atom) = 136

Cell lengths 9.656, 9.656, 9.656 Å; angles 16.83, 16.83, 16.83 degrees
Atoms (fractional coordinates):
1 Au 0.500 0.500 0.500
2 Pt 0.747 0.747 0.747
3 W 0.002 0.002 0.002
4 W 0.251 0.251 0.251

Result set for size of the total moment: 0.000, 1.781, 0.000, 2.762, 0.000, 5.665, 2.369, 0.000, 0.000, 0.000, 0.000, 0.000 μB per cell, one per record in the order listed.
Result set for calculated density: 15.539, 16.041, 15.554, 11.618, 14.530, 7.848, 8.441, 19.707, 19.223, 19.241, 19.651, 19.161 g/cm³, one per record in the order listed.
Result set for ΔE_f: -0.12, 0.03, 0.30, 1.50, -0.24, 1.27, 0.85, 0.07, -0.12, 0.04, -0.22, 0.18 eV/atom, one per record in the order listed.